Cu2HPdAu | Alexandria | PBE | relaxed; energy relative to the lowest polymorph listed for this composition = 0 meV/atom; M_tot = 0.000 μB/atom; VASP energy = -0.2996 Ry/atom; space group = P4/mmm
1.0
4.022 0.000 0.000
0.000 4.022 0.000
0.000 0.000 3.718
Cu H Pd Au
2 1 1 1
direct
0.000 0.500 0.000
0.500 0.000 0.000
0.000 0.000 0.000
0.000 0.000 0.500
0.500 0.500 0.500

Ca4Rh2N | Alexandria | PBE | relaxed; M_tot = 0.000 μB/atom; VASP energy = -0.3446 Ry/atom; formation energy from raw total energies = -0.255 eV per atom; space group = I4/mmm
1.0
-2.490 2.490 6.569
2.490 -2.490 6.569
2.490 2.490 -6.569
Ca Rh N
4 2 1
direct
0.000 0.500 0.500
0.176 0.176 0.000
0.500 0.000 0.500
0.824 0.824 0.000
0.392 0.392 0.000
0.608 0.608 0.000
0.000 0.000 0.000

AcPu2Sb2Au2 | Alexandria | PBE | relaxed; M_tot = 1.732 μB/atom; VASP energy = -0.5413 Ry/atom; formation energy from raw total energies = -0.568 eV per atom; space group = R-3m
1.0
2.473 1.428 8.950
-2.473 1.428 8.950
0.000 -2.856 8.950
Ac Pu Sb Au
1 2 2 2
direct
0.000 0.000 0.000
0.143 0.143 0.143
0.857 0.857 0.857
0.262 0.262 0.262
0.738 0.738 0.738
0.440 0.440 0.440
0.560 0.560 0.560

NaBI4 | Alexandria | PBE | relaxed; M_tot = 0.000 μB/atom; VASP energy = -0.2045 Ry/atom; formation energy from raw total energies = -0.417 eV per atom; space group = P2_1/c
1.0
7.413 0.000 0.000
0.000 12.467 0.000
-6.278 0.000 11.087
Na B I
4 4 16
direct
0.188 0.238 0.334
0.188 0.262 0.834
0.812 0.738 0.166
0.812 0.762 0.666
0.373 0.682 0.236
0.373 0.818 0.736
0.627 0.182 0.264
0.627 0.318 0.764
0.187 0.567 0.282
0.187 0.933 0.782
0.236 0.651 0.712
0.236 0.849 0.212
0.292 0.186 0.113
0.292 0.314 0.613
0.367 0.633 0.065
0.367 0.867 0.565
0.633 0.133 0.435
0.633 0.367 0.935
0.708 0.686 0.387
0.708 0.814 0.887
0.764 0.151 0.788
0.764 0.349 0.288
0.813 0.067 0.218
0.813 0.433 0.718

Sr2DyAl3Au12 | Alexandria | PBE | relaxed; M_tot = 0.000 μB/atom; VASP energy = -0.2589 Ry/atom; formation enthalpy at 0 K = -0.2710 eV per atom; space group = R-3m
1.0
4.565 2.635 6.121
-4.565 2.635 6.121
0.000 -5.271 6.121
Sr Dy Al Au
2 1 3 12
direct
0.100 0.100 0.100
0.900 0.900 0.900
0.500 0.500 0.500
0.000 0.500 0.500
0.500 0.000 0.500
0.500 0.500 0.000
0.117 0.646 0.646
0.203 0.203 0.662
0.203 0.662 0.203
0.338 0.797 0.797
0.354 0.354 0.883
0.354 0.883 0.354
0.646 0.117 0.646
0.646 0.646 0.117
0.662 0.203 0.203
0.797 0.338 0.797
0.797 0.797 0.338
0.883 0.354 0.354

Ce2PuCr2N6 | Alexandria | PBE | relaxed; M_tot = 0.577 μB/atom; VASP energy = -0.6970 Ry/atom; formation energy from raw total energies = -0.811 eV per atom; space group = R-3m
1.0
2.787 1.609 5.861
-2.787 1.609 5.861
0.000 -3.218 5.861
Ce Pu Cr N
2 1 2 6
direct
0.207 0.207 0.207
0.793 0.793 0.793
0.000 0.000 0.000
0.401 0.401 0.401
0.599 0.599 0.599
0.230 0.742 0.742
0.258 0.258 0.770
0.258 0.770 0.258
0.742 0.230 0.742
0.742 0.742 0.230
0.770 0.258 0.258

Co2NiW | Alexandria | PBE | relaxed; energy relative to the lowest polymorph listed for this composition = 172 meV/atom; M_tot = 0.650 μB/atom; VASP energy = -0.5959 Ry/atom; formation enthalpy at 0 K = 0.1291 eV per atom; space group = P4/mmm
1.0
2.652 0.000 0.000
0.000 2.652 0.000
0.000 0.000 6.924
Co Ni W
2 1 1
direct
0.000 0.000 0.234
0.000 0.000 0.766
0.500 0.500 0.000
0.500 0.500 0.500

P2PbBr | Alexandria | PBE | relaxed; energy relative to the lowest polymorph listed for this composition = 871 meV/atom; M_tot = 0.000 μB/atom; VASP energy = -0.2433 Ry/atom; formation energy from raw total energies = 0.740 eV per atom; space group = Fm-3m
1.0
0.000 3.508 3.508
3.508 0.000 3.508
3.508 3.508 0.000
P Pb Br
2 1 1
direct
0.250 0.250 0.250
0.750 0.750 0.750
0.000 0.000 0.000
0.500 0.500 0.500

GdHoPtPb | Alexandria | PBE | relaxed; M_tot = 1.786 μB/atom; VASP energy = -0.5761 Ry/atom; formation enthalpy at 0 K = -0.7357 eV per atom; space group = F-43m
1.0
0.000 3.676 3.676
3.676 0.000 3.676
3.676 3.676 0.000
Gd Ho Pt Pb
1 1 1 1
direct
0.000 0.000 0.000
0.500 0.500 0.500
0.750 0.750 0.750
0.250 0.250 0.250

Sc2ZnNi | Alexandria | PBE | relaxed; M_tot = 0.000 μB/atom; VASP energy = -0.3752 Ry/atom; formation enthalpy at 0 K = -0.1754 eV per atom; space group = C2/m
1.0
2.933 -1.672 0.000
2.933 1.672 0.000
-1.875 0.000 7.816
Sc Zn Ni
2 1 1
direct
0.241 0.241 0.219
0.759 0.759 0.781
0.000 0.000 0.500
0.500 0.500 0.000

V5Fe2Ru2Rh | Alexandria | PBE | relaxed; M_tot = 0.000 μB/atom; VASP energy = -0.6453 Ry/atom; formation enthalpy at 0 K = 0.0621 eV per atom; space group = P4/mbm
1.0
9.409 0.000 0.000
0.000 9.409 0.000
0.000 0.000 3.043
V Fe Ru Rh
10 4 4 2
direct
0.000 0.500 0.000
0.070 0.203 0.000
0.203 0.930 0.000
0.297 0.430 0.000
0.430 0.703 0.000
0.500 0.000 0.000
0.570 0.297 0.000
0.703 0.570 0.000
0.797 0.070 0.000
0.930 0.797 0.000
0.131 0.369 0.500
0.369 0.869 0.500
0.631 0.131 0.500
0.869 0.631 0.500
0.166 0.666 0.500
0.334 0.166 0.500
0.666 0.834 0.500
0.834 0.334 0.500
0.000 0.000 0.500
0.500 0.500 0.500